No. 1
A geometry-optimized MnSiP structure, computed with PBE.

Results
total moment = 2.317 μB per formula unit
electronic total energy = -6.339 eV/atom

a b c (Å): 4.4064 4.4064 4.8250
angles (deg): 90.00 90.00 120.00
With the nearest neighbours (Å) after each atom.
Sites, in units of the cell vectors:
Mn 0.3333 0.6667 0.2500  5 Si 2.41-2.54
Mn 0.6667 0.3333 0.7500  5 Si 2.41-2.54
Si 0.3333 0.6667 0.7500  5 Mn 2.41-2.54
Si 0.6667 0.3333 0.2500  5 Mn 2.41-2.54
P 0.0000 0.0000 0.0000  2 P 2.41
P 0.0000 0.0000 0.5000  2 P 2.41



No. 2
A geometry-optimized MnSi2P structure, computed with PBE.

Results
total moment = 2.092 μB per formula unit
electronic total energy = -6.312 eV/atom

a b c (Å): 3.5457 3.4403 4.8913
angles (deg): 90.00 110.89 90.00
With the nearest neighbours (Å) after each atom.
Sites, in units of the cell vectors:
Mn 0.0000 0.0000 0.0000  4 Si 2.41-2.56, 4 P 2.55-2.56
Si 0.0902 0.5000 0.3632  1 P 2.28, 2 Mn 2.41, 2 Si 2.42
Si 0.6593 0.0000 0.4411  4 Si 2.42-2.57, 2 Mn 2.55-2.56
P 0.4313 0.5000 0.8555  1 Si 2.28



No. 3
A geometry-optimized MnSiP structure, computed with PBE.

Results
total moment = 1.974 μB per formula unit
electronic total energy = -6.392 eV/atom

a b c (Å): 5.5055 5.5055 5.5055
angles (deg): 90.00 90.00 90.00
With the nearest neighbours (Å) after each atom.
Sites, in units of the cell vectors:
Mn 0.0000 0.0000 0.0000  4 P 2.38
Mn 0.0000 0.5000 0.5000  4 P 2.38
Mn 0.5000 0.0000 0.5000  4 P 2.38
Mn 0.5000 0.5000 0.0000  4 P 2.38
Si 0.0000 0.0000 0.5000  4 P 2.38
Si 0.0000 0.5000 0.0000  4 P 2.38
Si 0.5000 0.0000 0.0000  4 P 2.38
Si 0.5000 0.5000 0.5000  4 P 2.38
P 0.2500 0.2500 0.2500  4 Mn 2.38, 4 Si 2.38
P 0.2500 0.7500 0.7500  4 Mn 2.38, 4 Si 2.38
P 0.7500 0.2500 0.7500  4 Mn 2.38, 4 Si 2.38
P 0.7500 0.7500 0.2500  4 Mn 2.38, 4 Si 2.38



No. 4
A geometry-optimized MnSi2P structure, computed with PBE.

Results
total moment = 0.000 μB per formula unit
electronic total energy = -6.328 eV/atom

a b c (Å): 2.7635 2.7635 6.6982
angles (deg): 90.00 90.00 90.00
With the nearest neighbours (Å) after each atom.
Sites, in units of the cell vectors:
Mn 0.0000 0.0000 0.0000  4 P 2.32, 4 Si 2.46
Si 0.0000 0.0000 0.4960  8 Si 2.71-2.76, 4 P 2.85
Si 0.5000 0.5000 0.7769  4 Mn 2.46, 4 Si 2.71, 1 P 2.74
P 0.5000 0.5000 0.1864  4 Mn 2.32